[1]
CsCePbI6 | PBE-GGA | optimized geometry

Calculated values
Space group   No. 74
Uncorrected formation energy   -1.0976 eV/atom

```
18
Lattice="-5.706 5.894 8.303 5.706 -5.894 8.303 5.706 5.894 -8.303" Properties=species:S:1:pos:R:3 pbc="T T T"
Cs 0.000 2.947 1.093
Cs 5.706 2.947 7.210
Ce 5.706 0.000 0.000
Ce 0.000 0.000 8.303
Pb 2.853 2.947 -4.152
Pb 2.853 -2.947 4.152
I 3.375 -0.504 2.043
I 8.036 -0.504 2.043
I 5.706 -2.947 5.612
I 5.706 2.947 1.148
I 3.375 5.390 -2.043
I 2.331 -0.504 6.260
I 3.375 6.397 2.043
I 2.331 0.504 10.346
I 0.000 2.947 7.155
I 0.000 8.840 2.691
I -2.331 6.397 6.260
I 2.331 6.397 6.260
```



[2]
Pm5Sn2N | PBE-GGA | optimized geometry

Calculated values
Space group   No. 63
Uncorrected formation energy   -0.3325 eV/atom

```
16
Lattice="2.847 -7.927 0.000 2.847 7.927 0.000 0.000 0.000 11.886" Properties=species:S:1:pos:R:3 pbc="T T T"
Pm 2.847 6.824 7.335
Pm 2.847 6.824 10.493
Pm 2.847 3.400 7.003
Pm 2.847 3.400 10.825
Pm 2.847 2.924 2.971
Pm 2.847 -2.924 8.914
Pm 2.847 -3.400 1.060
Pm 2.847 -3.400 4.882
Pm 2.847 -6.824 1.392
Pm 2.847 -6.824 4.550
Sn 2.847 5.744 1.455
Sn 2.847 5.744 4.488
Sn 2.847 -5.744 7.397
Sn 2.847 -5.744 10.431
N 2.847 5.075 8.914
N 2.847 -5.075 2.971
```



[3]
TbHfFe4 | PBE-GGA | optimized geometry

Calculated values
Space group   No. 164
Offset from the most stable computed form   0.000 eV per atom

```
12
Lattice="5.044 0.000 0.000 -2.522 4.368 0.000 0.000 0.000 8.235" Properties=species:S:1:pos:R:3 pbc="T T T"
Tb 0.000 2.912 0.531
Tb 2.522 1.456 7.704
Hf 0.000 2.912 3.632
Hf 2.522 1.456 4.603
Fe 0.000 0.000 0.000
Fe 0.000 0.000 4.117
Fe 0.000 1.462 6.074
Fe -1.256 3.637 6.074
Fe 1.266 0.731 2.161
Fe 1.256 3.637 6.074
Fe 3.778 0.731 2.161
Fe 2.522 2.906 2.161
```



[4]
VCuAu2 | PBE-GGA | optimized geometry

Calculated values
Space group   No. 8
Raw total energy   -4.83 eV per atom

```
4
Lattice="2.475 -1.425 0.000 2.475 1.425 0.000 -1.656 0.000 8.863" Properties=species:S:1:pos:R:3 pbc="T T T"
V 0.000 0.000 0.000
Cu 0.000 0.000 4.436
Au 1.649 0.000 6.636
Au 3.304 0.000 2.228
```



[5]
NpGe4Ru2Rh | PBE-GGA | optimized geometry

Calculated values
Space group   No. 166
Raw total energy   -7.43 eV per atom

```
8
Lattice="2.125 1.227 8.502 -2.125 1.227 8.502 0.000 -2.454 8.502" Properties=species:S:1:pos:R:3 pbc="T T T"
Np 0.000 0.000 0.000
Ge 0.000 0.000 3.268
Ge 0.000 0.000 10.091
Ge 0.000 0.000 15.416
Ge 0.000 0.000 22.239
Ru 0.000 0.000 5.903
Ru 0.000 0.000 19.605
Rh 0.000 0.000 12.754
```



[6]
RbVI | PBE-GGA | optimized geometry

Calculated values
Space group   No. 1
Uncorrected formation energy   -0.0466 eV/atom
Offset from the most stable computed form   0.000 eV per atom

```
6
Lattice="4.133 0.000 0.000 -1.327 3.918 0.000 -0.824 -2.354 13.008" Properties=species:S:1:pos:R:3 pbc="T T T"
Rb 0.000 0.000 0.000
Rb -1.008 0.747 7.982
V -1.262 2.750 4.730
V 1.128 0.315 4.731
I 0.859 2.347 2.662
I 1.146 -0.801 10.612
```



no.,V (Å³/atom),M_tot (μB/atom)
1,62.05,0.11
2,33.53,0.09
3,15.12,1.08
4,15.62,0.00
5,16.62,0.49
6,35.10,0.00